Record 1
First-principles (PBE) data for a relaxed structure of HgSb4Br, as listed in the Alexandria database.

Output
Calculated total energy   -2.940 eV/atom
Energy relative to the elements, uncorrected   0.138 eV per atom

Cell lengths 6.454, 6.454, 6.454 Å; angles 60.00, 60.00, 60.00 degrees
Atoms (fractional coordinates):
Sb  0.839  0.387  0.387
Hg  0.000  0.000  0.000
Sb  0.387  0.387  0.387
Sb  0.387  0.387  0.839
Br  0.750  0.750  0.750
Sb  0.387  0.839  0.387

Record 2
First-principles (PBE) data for a relaxed structure of Sr2Mg3In4, as listed in the Alexandria database.

Output
Energy relative to the elements   -2.44 eV per formula unit
Calculated total energy   -2.393 eV/atom

Cell lengths 6.564, 8.660, 9.555 Å; angles 90.00, 110.09, 90.00 degrees
Atoms (fractional coordinates):
Sr  0.103  0.601  0.206
Mg  0.516  0.750  0.533
Mg  0.000  0.000  0.000
Mg  0.016  0.750  0.533
In  0.328  0.489  0.655
In  0.816  0.250  0.132
Mg  0.484  0.250  0.467
Mg  0.500  0.500  0.000
In  0.828  0.011  0.655
Sr  0.397  0.101  0.794
In  0.184  0.750  0.868
Sr  0.603  0.899  0.206
In  0.672  0.511  0.345
In  0.172  0.989  0.345
Sr  0.897  0.399  0.794
Mg  0.984  0.250  0.467
In  0.316  0.250  0.132
In  0.684  0.750  0.868

Record 3
First-principles (PBE) data for a relaxed structure of Li5Ca3, as listed in the Alexandria database.

Output
ΔE to the lowest computed polymorph   0 meV per atom
Energy relative to the elements   0.35 eV per formula unit
Calculated total energy   -1.903 eV/atom

Cell lengths 5.328, 7.058, 7.058 Å; angles 120.00, 90.00, 90.00 degrees
Atoms (fractional coordinates):
Li  0.000  0.333  0.667
Ca  0.500  0.657  0.000
Ca  0.500  0.343  0.343
Li  0.000  0.237  0.000
Li  0.000  0.667  0.333
Li  0.000  0.000  0.237
Li  0.000  0.763  0.763
Ca  0.500  0.000  0.657